# PBE+U K2WF, optimized geometry
data_K2WF
_chemical_formula_sum 'K8 W4 F4'
_space_group_name_H-M_alt 'I -4 2 d'
_space_group_IT_number 122
_space_group_name_Hall 'I -4 2bw'
_cell_length_a 7.924
_cell_length_b 7.924
_cell_length_c 9.317
_cell_angle_alpha 90.00
_cell_angle_beta 90.00
_cell_angle_gamma 90.00
loop_
_atom_site_label
_atom_site_type_symbol
_atom_site_fract_x
_atom_site_fract_y
_atom_site_fract_z
K1 K 0.134 0.250 0.125
W1 W 0.000 0.000 0.500
F1 F 0.000 0.000 0.000
# - energy relative to the lowest polymorph listed for this composition (eV/atom) = 0.0000